DFT (GGA-PBE) results for a relaxed structure of PaZnPd2O8.

```
PaZnPd2O8
1.0
-3.4710 3.4710 3.3933
3.4710 -3.4710 3.3933
3.4710 3.4710 -3.3933
Pa Zn Pd O
1 1 2 8
Cartesian
0.0000 0.0000 0.0000
3.4710 0.0000 1.6967
0.0000 0.0000 3.3933
0.0000 3.4710 1.6967
2.2173 3.4710 -1.4681
1.2537 0.0000 1.9252
0.0000 2.2372 0.2141
3.4710 2.2173 1.4681
0.0000 4.7049 0.2141
0.0000 1.2537 4.8614
-1.2339 3.4710 3.1792
1.2339 3.4710 3.1792
```

Properties
energy relative to the elements, uncorrected: -1.0477 eV per atom
volume: 13.63 Å³/atom

DFT (GGA-PBE) results for a relaxed structure of Pu2Cd2Hg.

```
Pu2Cd2Hg
1.0
2.5367 -7.7601 0.0000
2.5367 7.7601 0.0000
0.0000 0.0000 3.0850
Pu Cd Hg
2 2 1
Cartesian
2.5367 6.1362 0.0000
2.5367 -6.1362 0.0000
2.5367 3.1239 1.5425
2.5367 -3.1239 1.5425
2.5367 0.0000 1.5425
```

Properties
energy of formation from the pure elements: -0.085 eV per atom
volume: 24.29 Å³/atom

DFT (GGA-PBE) results for a relaxed structure of Sm2Er4Sc3.

```
Sm2Er4Sc3
1.0
3.4879 0.0000 0.0000
-1.7439 3.0206 0.0000
0.0000 0.0000 25.2718
Sm Er Sc
2 4 3
Cartesian
0.0000 0.0000 0.0000
0.0000 0.0000 5.4237
0.0000 0.0000 8.9238
0.0000 0.0000 14.1757
0.0000 2.0137 17.0313
0.0000 2.0137 22.3170
0.0000 0.0000 19.6801
0.0000 2.0137 2.7544
0.0000 2.0137 11.5283
```

Properties
energy of formation from the pure elements: 0.059 eV per atom
volume: 29.58 Å³/atom

DFT (GGA-PBE) results for a relaxed structure of BaAlRu2.

```
BaAlRu2
1.0
3.2726 0.0000 0.0000
0.0000 3.2726 0.0000
0.0000 0.0000 7.4441
Ba Al Ru
1 1 2
Cartesian
0.0000 0.0000 0.0000
0.0000 0.0000 3.7221
1.6363 1.6363 2.4665
1.6363 1.6363 4.9776
```

Properties
energy of formation from the pure elements: 0.262 eV per atom
volume: 19.93 Å³/atom

DFT (GGA-PBE) results for a relaxed structure of NaH4BrO2.

```
NaH4BrO2
1.0
6.7323 0.0000 0.0000
0.0000 10.4923 0.0000
-3.0666 0.0000 6.1180
Na H Br O
4 16 4 8
Cartesian
-1.3139 1.7463 2.7425
-2.8472 3.4998 5.8015
6.5130 6.9925 0.3165
4.9797 8.7460 3.3755
-0.9423 6.2581 4.7967
0.5911 9.4803 1.7377
-0.9989 0.4325 5.3289
0.5344 4.8136 2.2699
-0.4735 7.3255 5.8060
1.0598 8.4130 2.7470
1.7782 5.3832 1.4960
0.2449 10.3552 4.5550
3.4208 0.1371 1.5631
1.8875 5.1090 4.6221
2.6059 2.0793 3.3710
4.1392 3.1668 0.3120
3.1313 5.6787 3.8481
4.6647 10.0598 0.7891
3.0747 1.0119 4.3803
4.6080 4.2342 1.3213
1.3147 1.1888 1.2842
-0.2186 4.0574 4.3432
3.8844 6.4349 1.7748
2.3511 9.3035 4.8338
-1.1640 7.1652 5.1262
0.3693 8.5732 2.0672
-0.6957 0.1368 4.4356
0.8376 5.1093 1.3766
2.8281 5.3830 4.7414
4.3614 10.3554 1.6824
3.2965 1.9191 4.0508
4.8298 3.3271 0.9918
```

Properties
volume: 13.51 Å³/atom
raw total energy: -4.464 eV/atom

DFT (GGA-PBE) results for a relaxed structure of SmDy3Er2P6.

```
SmDy3Er2P6
1.0
3.4742 -6.0166 0.0000
3.4742 6.0166 0.0000
-2.3144 0.0000 6.5523
Sm Dy Er P
1 3 2 6
Cartesian
0.0000 0.0000 0.0000
2.3170 4.0216 3.2761
2.3170 0.0000 3.2761
2.3170 -4.0216 3.2761
3.4742 2.0087 0.0000
3.4742 -2.0087 0.0000
1.1743 2.0327 1.6421
0.0330 0.0000 4.9136
1.1743 -2.0327 1.6421
3.4596 2.0327 4.9102
4.6009 0.0000 1.6386
3.4596 -2.0327 4.9102
```

Properties
energy of formation from the pure elements: -1.602 eV per atom
volume: 22.83 Å³/atom